1.
PuPa2Sb (PBE, optimized geometry); symmetry = P4/mmm; E above lowest polymorph = 0.0000 eV/atom
1.0
-0.554 2.628 -3.812
0.230 -3.735 -2.608
-4.523 -0.498 0.314
Pa Pu Sb
2 1 1
direct
0.000 0.000 0.500
0.000 0.500 0.000
0.500 0.500 0.500
0.500 0.000 0.000

***

2.
Al4FeHg (PBE, optimized geometry); symmetry = F-43m; energy of formation = 0.32 eV per atom
1.0
0.000 3.718 3.718
3.718 0.000 3.718
3.718 3.718 0.000
Al Fe Hg
4 1 1
direct
0.376 0.376 0.376
0.376 0.873 0.376
0.376 0.376 0.873
0.873 0.376 0.376
0.750 0.750 0.750
0.000 0.000 0.000

***

3.
AcPrAg (PBE, optimized geometry); symmetry = P2_1/c; energy of formation = -0.07 eV per atom; E above lowest polymorph = 0.0686 eV/atom
1.0
-4.574 5.566 1.659
-1.813 -3.414 6.458
4.817 2.119 6.172
Ac Ag Pr
4 4 4
direct
0.833 0.265 0.094
0.167 0.735 0.906
0.667 0.265 0.594
0.333 0.735 0.406
0.956 0.572 0.299
0.044 0.428 0.701
0.456 0.428 0.201
0.544 0.572 0.799
0.328 0.185 0.985
0.828 0.815 0.515
0.672 0.815 0.015
0.172 0.185 0.485

***

4.
Ba2BeReTe (PBE, optimized geometry); symmetry = P4/mmm; E = -21.79 eV/cell
1.0
6.123 0.000 0.000
0.000 4.384 0.000
0.000 0.000 6.123
Ba Be Re Te
2 1 1 1
direct
0.500 0.000 0.000
0.000 0.000 0.500
0.000 0.000 0.000
0.000 0.500 0.000
0.500 0.500 0.500